First-principles (PBE) data for an optimized crystal structure of LaBeZnIrS, as listed in the Alexandria database.

The space group is P1 (No. 1) and the conventional cell measures 3.757, 4.918 and 5.642 Å, with angles of 81.71, 72.17 and 89.51 degrees. The distinct sites, in fractional coordinates, are La at (0.000, 0.000, 0.000), Be at (0.696, 0.737, 0.585), Zn at (0.286, 0.474, 0.406), Ir at (0.248, 0.968, 0.464) and S at (0.533, 0.507, 0.939).

The value obtained for the energy relative to the lowest polymorph listed for this composition is 0.106 eV/atom. Its formation energy (no corrections) is -0.676 eV/atom.